DFT (PBE-GGA) results for a relaxed Ho4CSe3 crystal.

Properties
ΔE_f (raw), kJ per mole of atoms: -120
Calculated density, g cm⁻³: 7.15
VASP energy, eV per cell: -95.89

abc: 8.8473 8.5095 5.6072
angles: 90.00 90.00 90.00
Last column: nearest neighbours and their distance in Å.
Positions (direct):
Ho  0.0000  0.0846  0.0000  1 C 2.31
Ho  0.0000  0.8174  0.5222  1 C 2.45, 1 Se 2.73
Ho  0.2242  0.6861  0.0043  1 C 2.28
Ho  0.2758  0.3139  0.5043  1 C 2.28
Ho  0.5000  0.1826  0.0222  1 C 2.45, 1 Se 2.73
Ho  0.5000  0.9154  0.5000  1 C 2.31
Ho  0.7242  0.3139  0.5043  1 C 2.28
Ho  0.7758  0.6861  0.0043  1 C 2.28
C  0.0000  0.8149  0.9583  4 Ho 2.28-2.45
C  0.5000  0.1851  0.4583  4 Ho 2.28-2.45
Se  0.0000  0.1385  0.5038  5 Ho 2.73-2.86
Se  0.2232  0.3461  0.0067  5 Ho 2.82-2.97
Se  0.2768  0.6539  0.5067  5 Ho 2.82-2.97
Se  0.5000  0.8615  0.0038  5 Ho 2.73-2.86
Se  0.7232  0.6539  0.5067  5 Ho 2.82-2.97
Se  0.7768  0.3461  0.0067  5 Ho 2.82-2.97